1.
DFT (PBE-GGA) results for a geometry-optimized LiTa2Ag structure.

a = 3.0705 Å, b = 4.4393 Å, c = 5.0687 Å
α = 90.00°, β = 90.00°, γ = 90.00°
Closest atoms and distances in Å follow each position.
Space group Pmmm (No. 47)
One atom of each set of equivalent atoms:
Li (0.0000, 0.0000, 0.0000) [1 per cell]  4 Ag 2.70, 4 Ta 2.96
Ta (0.0000, 0.5000, 0.5000) [1 per cell]  4 Ta 2.70, 4 Ag 2.96
Ta (0.5000, 0.0000, 0.5000) [1 per cell]  4 Ta 2.70, 4 Li 2.96
Ag (0.5000, 0.5000, 0.0000) [1 per cell]  4 Li 2.70, 4 Ta 2.96

calculated density: 11.5 Mg/m³
crystal system: orthorhombic
polymorph energy (0 for the lowest one): 0.59 eV/f.u.
electronic total energy: -6.82 eV/atom
total magnetization: 0.0 Bohr magnetons per cell
calculated formation energy: 1.2 eV per formula unit

2.
DFT (PBE-GGA) results for a geometry-optimized Pm2BeCu6Pt structure.

a = 5.6877 Å, b = 5.7169 Å, c = 6.7519 Å
α = 66.40°, β = 66.06°, γ = 61.06°
Closest atoms and distances in Å follow each position.
Space group P-1 (No. 2)
One atom of each set of equivalent atoms:
Pm (0.2216, 0.2232, 0.3408) [2 per cell]  9 Cu 3.08-3.29, 1 Pt 3.37
Be (0.0000, 0.0000, 0.0000) [1 per cell]  6 Cu 2.07-2.09
Cu (0.2382, 0.2382, 0.8426) [2 per cell]  1 Be 2.07
Cu (0.2380, 0.6646, 0.8556) [2 per cell]  1 Be 2.09
Cu (0.3296, 0.7639, 0.1489) [2 per cell]  1 Be 2.08
Pt (0.5000, 0.5000, 0.5000) [1 per cell]  6 Cu 2.53

calculated density: 8.6 Mg/m³
crystal system: triclinic
electronic total energy: -4.57 eV/atom
total magnetization: 0.0 Bohr magnetons per cell
calculated formation energy: -1.9 eV per formula unit

3.
DFT (PBE-GGA) results for a geometry-optimized Sr2BeWN4 structure.

a = 5.6813 Å, b = 6.8173 Å, c = 6.1779 Å
α = 90.00°, β = 90.00°, γ = 90.00°
Closest atoms and distances in Å follow each position.
Space group Pmmn (No. 59, origin choice 2)
One atom of each set of equivalent atoms:
Sr (0.2500, 0.0018, 0.2400) [4 per cell]  5 N 2.54-2.74
Be (0.2500, 0.7500, 0.6718) [2 per cell]  2 N 1.71
W (0.2500, 0.2500, 0.6796) [2 per cell]  4 N 1.87-1.91
N (0.0101, 0.7500, 0.5053) [4 per cell]  1 Be 1.71, 1 W 1.87
N (0.2500, 0.0051, 0.8296) [4 per cell]  1 W 1.91, 1 Be 1.99

energy relative to the elements, uncorrected: -6.904 eV/f.u.
calculated density: 5.9 Mg/m³
crystal system: orthorhombic
electronic total energy: -7.53 eV/atom
total magnetization: 0.0 Bohr magnetons per cell

4.
DFT (PBE-GGA) results for a geometry-optimized MgAl2Ag7 structure.

a = 7.5697 Å, b = 12.8358 Å, c = 4.5951 Å
α = 90.00°, β = 90.00°, γ = 90.00°
Closest atoms and distances in Å follow each position.
Space group Cmmm (No. 65)
One atom of each set of equivalent atoms:
Mg (0.0000, 0.0000, 0.0000) [2 per cell]  2 Ag 2.74
Al (0.0000, 0.3009, 0.5000) [4 per cell]  7 Ag 2.56-2.77
Ag (0.0000, 0.2132, 0.0000) [4 per cell]  2 Al 2.56, 1 Mg 2.74
Ag (0.0000, 0.5000, 0.5000) [2 per cell]  2 Al 2.56, 4 Ag 2.81
Ag (0.1842, 0.1148, 0.5000) [8 per cell]  2 Al 2.62-2.77, 2 Ag 2.79-2.81

calculated density: 6.2 Mg/m³
crystal system: orthorhombic
electronic total energy: -2.74 eV/atom
total magnetization: 0.0 Bohr magnetons per cell
calculated formation energy: 1.6 eV per formula unit

5.
DFT (PBE-GGA) results for a geometry-optimized AlSiB structure.

a = 3.2416 Å, b = 3.2416 Å, c = 4.2080 Å
α = 90.00°, β = 90.00°, γ = 120.00°
Closest atoms and distances in Å follow each position.
Space group P3m1 (No. 156)
One atom of each set of equivalent atoms:
Al (0.0000, 0.0000, 0.0000) [1 per cell]  3 B 2.25
Si (0.6667, 0.3333, 0.5112) [1 per cell]  3 B 2.04
B (0.3333, 0.6667, 0.7031) [1 per cell]  3 Si 2.04, 3 Al 2.25

energy relative to the elements, uncorrected: 0.372 eV/f.u.
calculated density: 2.9 Mg/m³
crystal system: trigonal
polymorph energy (0 for the lowest one): 0.03 eV/f.u.
electronic total energy: -5.16 eV/atom
total magnetization: 0.0 Bohr magnetons per cell

6.
DFT (PBE-GGA) results for a geometry-optimized Ce5SmPb4 structure.

a = 16.4506 Å, b = 4.7899 Å, c = 8.2953 Å
α = 90.00°, β = 108.78°, γ = 90.00°
Closest atoms and distances in Å follow each position.
Space group C2/m (No. 12)
One atom of each set of equivalent atoms:
Ce (0.0000, 0.0000, 0.0000) [2 per cell]  4 Ce 3.28, 4 Pb 3.42
Ce (0.1263, 0.5000, 0.9529) [4 per cell]  5 Pb 3.15-3.32, 2 Ce 3.28
Ce (0.2286, 0.0000, 0.3821) [4 per cell]  2 Ce 3.03, 2 Pb 3.24
Sm (0.0000, 0.0000, 0.5000) [2 per cell]  6 Pb 3.14-3.32
Pb (0.0734, 0.5000, 0.3072) [4 per cell]  7 Ce 3.30-3.44, 2 Sm 3.32
Pb (0.1850, 0.0000, 0.7689) [4 per cell]  1 Sm 3.14, 6 Ce 3.15-3.51

calculated density: 9.0 Mg/m³
crystal system: monoclinic
electronic total energy: -5.25 eV/atom
total magnetization: 10.5 Bohr magnetons per cell
calculated formation energy: -3.2 eV per formula unit

7.
DFT (PBE-GGA) results for a geometry-optimized CePuPdRh structure.

a = 6.9977 Å, b = 6.9977 Å, c = 6.9977 Å
α = 90.00°, β = 90.00°, γ = 90.00°
Closest atoms and distances in Å follow each position.
Space group F-43m (No. 216)
One atom of each set of equivalent atoms:
Ce (0.0000, 0.0000, 0.0000) [4 per cell]  4 Rh 3.03, 4 Pd 3.03
Pu (0.0000, 0.0000, 0.5000) [4 per cell]  4 Pd 3.03, 4 Rh 3.03
Pd (0.2500, 0.2500, 0.2500) [4 per cell]  4 Ce 3.03, 4 Pu 3.03
Rh (0.2500, 0.2500, 0.7500) [4 per cell]  4 Ce 3.03, 4 Pu 3.03

calculated density: 11.5 Mg/m³
crystal system: cubic
polymorph energy (0 for the lowest one): 0.16 eV/f.u.
electronic total energy: -8.75 eV/atom
total magnetization: 25.2 Bohr magnetons per cell
calculated formation energy: -2.2 eV per formula unit

8.
DFT (PBE-GGA) results for a geometry-optimized AcMg2GeN structure.

a = 4.0858 Å, b = 12.6109 Å, c = 7.8133 Å
α = 90.00°, β = 90.00°, γ = 90.00°
Closest atoms and distances in Å follow each position.
Space group Cmcm (No. 63)
One atom of each set of equivalent atoms:
Ac (0.0000, 0.0395, 0.2500) [4 per cell]  4 N 2.87
Mg (0.0000, 0.3401, 0.0555) [8 per cell]  1 N 2.06
Ge (0.0000, 0.2330, 0.7500) [4 per cell]  6 Mg 2.71-2.74
N (0.0000, 0.5000, 0.0000) [4 per cell]  2 Mg 2.06

energy relative to the elements, uncorrected: -3.420 eV/f.u.
calculated density: 6.0 Mg/m³
crystal system: orthorhombic
electronic total energy: -4.73 eV/atom
total magnetization: 0.0 Bohr magnetons per cell

9.
DFT (PBE-GGA) results for a geometry-optimized Nd4DyTe5 structure.

a = 4.4478 Å, b = 4.4478 Å, c = 31.9696 Å
α = 90.00°, β = 90.00°, γ = 90.00°
Closest atoms and distances in Å follow each position.
Space group I4/mmm (No. 139)
One atom of each set of equivalent atoms:
Nd (0.0000, 0.0000, 0.1040) [4 per cell]  6 Te 3.16-3.33
Nd (0.0000, 0.0000, 0.3076) [4 per cell]  6 Te 3.12-3.30
Dy (0.0000, 0.0000, 0.5000) [2 per cell]  6 Te 3.03-3.15
Te (0.0000, 0.0000, 0.0000) [2 per cell]  4 Dy 3.15, 2 Nd 3.33
Te (0.0000, 0.0000, 0.2045) [4 per cell]  6 Nd 3.17-3.30
Te (0.0000, 0.0000, 0.4053) [4 per cell]  1 Dy 3.03, 5 Nd 3.12-3.16

energy relative to the elements, uncorrected: -13.939 eV/f.u.
calculated density: 7.2 Mg/m³
crystal system: tetragonal
electronic total energy: -5.33 eV/atom
total magnetization: 0.0 Bohr magnetons per cell

10.
DFT (PBE-GGA) results for a geometry-optimized Pr4Rh structure.

a = 8.8522 Å, b = 8.8522 Å, c = 8.5694 Å
α = 90.00°, β = 90.00°, γ = 90.00°
Closest atoms and distances in Å follow each position.
Space group I4_1/amd (No. 141, origin choice 2)
One atom of each set of equivalent atoms:
Pr (0.0000, 0.0505, 0.2086) [16 per cell]  1 Rh 2.75
Rh (0.0000, 0.2500, 0.8750) [4 per cell]  4 Pr 2.75

calculated density: 6.6 Mg/m³
crystal system: tetragonal
polymorph energy (0 for the lowest one): 0.00 eV/f.u.
electronic total energy: -5.57 eV/atom
total magnetization: 0.0 Bohr magnetons per cell
calculated formation energy: -1.4 eV per formula unit

11.
DFT (PBE-GGA) results for a geometry-optimized Ba2Ca2Tl15 structure.

a = 11.0342 Å, b = 11.0342 Å, c = 17.6958 Å
α = 90.00°, β = 90.00°, γ = 120.00°
Closest atoms and distances in Å follow each position.
Space group R-3m (No. 166, hexagonal axes)
One atom of each set of equivalent atoms:
Ba (0.0000, 0.0000, 0.1473) [6 per cell]  9 Tl 3.75-3.97
Ca (0.0000, 0.0000, 0.3957) [6 per cell]  12 Tl 3.37-3.67, 1 Ca 3.69
Tl (0.0000, 0.2877, 0.5000) [18 per cell]  6 Tl 3.17-3.38
Tl (0.0000, 0.5000, 0.0000) [9 per cell]  8 Tl 3.26-3.38, 2 Ca 3.37
Tl (0.0060, 0.5030, 0.6363) [18 per cell]  6 Tl 3.26-3.36, 1 Ca 3.63

calculated density: 9.1 Mg/m³
crystal system: trigonal
electronic total energy: -2.45 eV/atom
total magnetization: 0.0 Bohr magnetons per cell
calculated formation energy: -3.2 eV per formula unit

12.
DFT (PBE-GGA) results for a geometry-optimized AlFeAs2 structure.

a = 5.5113 Å, b = 6.9632 Å, c = 3.3257 Å
α = 90.00°, β = 90.00°, γ = 90.00°
Closest atoms and distances in Å follow each position.
Space group Cmmm (No. 65)
One atom of each set of equivalent atoms:
Al (0.0000, 0.0000, 0.0000) [2 per cell]  2 Fe 2.76, 8 As 2.77
Fe (0.0000, 0.5000, 0.0000) [2 per cell]  2 Al 2.76, 8 As 2.77
As (0.2500, 0.2500, 0.5000) [4 per cell]  2 As 2.76, 4 Fe 2.77, 4 Al 2.77

calculated density: 6.1 Mg/m³
crystal system: orthorhombic
electronic total energy: -5.15 eV/atom
total magnetization: 4.5 Bohr magnetons per cell
calculated formation energy: 0.9 eV per formula unit